Computed, not measured: La2Pm2Y6Th after structural relaxation at the GGA-PBE level of DFT.

Values from the calculation:
Energy of formation, eV/atom: 0.17
Total DFT energy (no corrections), eV per atom: -5.787
DOS at the Fermi energy, states/eV per atom: 1.49

Unit cell a=6.5441 b=10.3701 c=11.2832 alpha=90.00 beta=94.39 gamma=90.00
Closest atoms and distances in Å follow each position.
Space group C2/m (No. 12)
One atom of each set of equivalent atoms:
La (0.0000, 0.1578, 0.0000)  1 La 3.27, 4 Y 3.45-3.52, 3 Th 3.55-3.66
Pm (0.0000, 0.2260, 0.5000)  2 Pm 3.31, 4 Y 3.36-3.48
Y (0.2160, 0.3339, 0.2455)  2 Pm 3.36-3.48, 5 Y 3.45-3.71, 2 La 3.45-3.52, 1 Th 3.47
Y (0.2474, 0.0000, 0.2923)  6 Y 3.51-3.88, 2 Pm 3.77, 1 Th 3.80, 2 La 3.92
Th (0.0000, 0.5000, 0.0000)  6 Y 3.47-3.80, 6 La 3.55-3.66